No. 1
A relaxed structure of KCoMo2, computed with PBE.

```
KCoMo2
1.0
2.9165 0.0000 0.0000
0.0000 5.5490 0.0000
0.0000 0.0000 9.5584
K Co Mo
2 2 4
direct
0.0000 0.0000 0.0000 K
0.5000 0.5000 0.5000 K
0.0000 0.5000 0.2170 Co
0.5000 0.0000 0.7170 Co
0.0000 0.0000 0.5116 Mo
0.0000 0.5000 0.8017 Mo
0.5000 0.0000 0.3017 Mo
0.5000 0.5000 0.0116 Mo
```

E_form = 1337 meV/atom
Energy relative to the lowest polymorph listed for this composition = 571.0 meV/atom
SG = Imm2, No. 44

No. 2
A relaxed structure of KCo2Mo, computed with PBE.

```
KCo2Mo
1.0
3.0154 0.0000 0.0000
0.0000 3.0154 0.0000
0.0000 0.0000 7.9737
K Co Mo
1 2 1
direct
0.0000 0.0000 0.0000 K
0.5000 0.5000 0.3378 Co
0.5000 0.5000 0.6622 Co
0.0000 0.0000 0.5000 Mo
```

E_form = 596 meV/atom
Energy relative to the lowest polymorph listed for this composition = 0.0 meV/atom
SG = P4/mmm, No. 123

No. 3
A relaxed structure of KCo3Mo, computed with PBE.

```
KCo3Mo
1.0
4.2251 0.0000 0.0000
0.0000 4.2251 0.0000
0.0000 0.0000 4.2251
K Co Mo
1 3 1
direct
0.0000 0.0000 0.0000 K
0.0000 0.0000 0.5000 Co
0.0000 0.5000 0.0000 Co
0.5000 0.0000 0.0000 Co
0.5000 0.5000 0.5000 Mo
```

E_form = 2682 meV/atom
Energy relative to the lowest polymorph listed for this composition = 1362.6 meV/atom
SG = Pm-3m, No. 221

No. 4
A relaxed structure of KCo2Mo, computed with PBE.

```
KCo2Mo
1.0
2.6939 0.0000 0.0000
0.0000 2.6939 0.0000
0.0000 0.0000 9.3325
K Co Mo
1 2 1
direct
0.0000 0.0000 0.0000 K
0.0000 0.0000 0.5486 Co
0.5000 0.5000 0.7066 Co
0.5000 0.5000 0.3496 Mo
```

E_form = 776 meV/atom
Energy relative to the lowest polymorph listed for this composition = 179.5 meV/atom
SG = P4mm, No. 99

No. 5
A relaxed structure of KCoMo2, computed with PBE.

```
KCoMo2
1.0
8.6971 0.0000 0.0000
0.0000 2.6821 0.0000
-0.3179 0.0000 7.5152
K Co Mo
2 2 4
direct
0.0000 0.0000 0.0000 K
0.5000 0.5000 0.0000 K
0.2558 0.5000 0.3551 Co
0.7558 0.0000 0.3551 Co
0.2348 0.0000 0.6364 Mo
0.4901 0.0000 0.4627 Mo
0.7348 0.5000 0.6364 Mo
0.9901 0.5000 0.4627 Mo
```

E_form = 944 meV/atom
Energy relative to the lowest polymorph listed for this composition = 178.2 meV/atom
SG = Cm, No. 8

No. 6
A relaxed structure of KCo3Mo, computed with PBE.

```
KCo3Mo
1.0
4.6016 0.0000 0.0000
0.0000 4.6016 0.0000
0.0000 0.0000 4.6016
K Co Mo
1 3 1
direct
0.0000 0.0000 0.0000 K
0.0000 0.5000 0.5000 Co
0.5000 0.0000 0.5000 Co
0.5000 0.5000 0.0000 Co
0.5000 0.5000 0.5000 Mo
```

E_form = 1319 meV/atom
Energy relative to the lowest polymorph listed for this composition = 0.0 meV/atom
SG = Pm-3m, No. 221

No. 7
A relaxed structure of KCoMo2, computed with PBE.

```
KCoMo2
1.0
2.7716 0.0000 0.0000
-1.3858 2.4003 0.0000
0.0000 0.0000 31.6941
K Co Mo
3 3 6
direct
0.0000 0.0000 0.0000 K
0.3333 0.6667 0.6667 K
0.6667 0.3333 0.3333 K
0.0000 0.0000 0.5000 Co
0.3333 0.6667 0.1667 Co
0.6667 0.3333 0.8333 Co
0.0000 0.0000 0.2328 Mo
0.0000 0.0000 0.7672 Mo
0.3333 0.6667 0.4339 Mo
0.3333 0.6667 0.8995 Mo
0.6667 0.3333 0.1005 Mo
0.6667 0.3333 0.5661 Mo
```

E_form = 921 meV/atom
Energy relative to the lowest polymorph listed for this composition = 155.5 meV/atom
SG = R-3m, No. 166

No. 8
A relaxed structure of KCoMo2, computed with PBE.

```
KCoMo2
1.0
8.6846 0.0000 0.0000
0.0000 3.2694 0.0000
-1.0152 0.0000 6.7153
K Co Mo
2 2 4
direct
0.0000 0.0000 0.0000 K
0.5000 0.5000 0.0000 K
0.0000 0.5000 0.5000 Co
0.5000 0.0000 0.5000 Co
0.2108 0.0000 0.6106 Mo
0.2892 0.5000 0.3894 Mo
0.7108 0.5000 0.6106 Mo
0.7892 0.0000 0.3894 Mo
```

E_form = 981 meV/atom
Energy relative to the lowest polymorph listed for this composition = 214.7 meV/atom
SG = C2/m, No. 12

No. 9
A relaxed structure of KCoMo2, computed with PBE.

```
KCoMo2
1.0
3.7486 0.0000 0.0000
0.0000 3.7486 0.0000
0.0000 0.0000 5.0993
K Co Mo
1 1 2
direct
0.0000 0.0000 0.0000 K
0.5000 0.5000 0.0000 Co
0.0000 0.5000 0.5000 Mo
0.5000 0.0000 0.5000 Mo
```

E_form = 1622 meV/atom
Energy relative to the lowest polymorph listed for this composition = 856.1 meV/atom
SG = P4/mmm, No. 123

No. 10
A relaxed structure of KCoMo, computed with PBE.

```
KCoMo
1.0
6.8720 0.0000 0.0000
0.0000 6.8720 0.0000
0.0000 0.0000 6.8720
K Co Mo
4 4 4
direct
0.0000 0.0000 0.0000 K
0.0000 0.5000 0.5000 K
0.5000 0.0000 0.5000 K
0.5000 0.5000 0.0000 K
0.2500 0.2500 0.7500 Co
0.2500 0.7500 0.2500 Co
0.7500 0.2500 0.2500 Co
0.7500 0.7500 0.7500 Co
0.2500 0.2500 0.2500 Mo
0.2500 0.7500 0.7500 Mo
0.7500 0.2500 0.7500 Mo
0.7500 0.7500 0.2500 Mo
```

E_form = 2780 meV/atom
Energy relative to the lowest polymorph listed for this composition = 1923.5 meV/atom
SG = F-43m, No. 216

No. 11
A relaxed structure of KCo2Mo, computed with PBE.

```
KCo2Mo
1.0
3.1371 0.0000 0.0000
-1.5685 2.7168 0.0000
0.0000 0.0000 26.0305
K Co Mo
3 6 3
direct
0.0000 0.0000 0.0000 K
0.3333 0.6667 0.6667 K
0.6667 0.3333 0.3333 K
0.0000 0.0000 0.2261 Co
0.0000 0.0000 0.7739 Co
0.3333 0.6667 0.4406 Co
0.3333 0.6667 0.8928 Co
0.6667 0.3333 0.1072 Co
0.6667 0.3333 0.5594 Co
0.0000 0.0000 0.5000 Mo
0.3333 0.6667 0.1667 Mo
0.6667 0.3333 0.8333 Mo
```

E_form = 786 meV/atom
Energy relative to the lowest polymorph listed for this composition = 189.4 meV/atom
SG = R-3m, No. 166

No. 12
A relaxed structure of KCo2Mo, computed with PBE.

```
KCo2Mo
1.0
3.0319 0.0000 0.0000
0.0000 5.8266 0.0000
0.0000 0.0000 9.0964
K Co Mo
2 4 2
direct
0.0000 0.0000 0.0000 K
0.5000 0.5000 0.5000 K
0.0000 0.5000 0.1887 Co
0.0000 0.5000 0.8113 Co
0.5000 0.0000 0.3113 Co
0.5000 0.0000 0.6887 Co
0.0000 0.0000 0.5000 Mo
0.5000 0.5000 0.0000 Mo
```

E_form = 1284 meV/atom
Energy relative to the lowest polymorph listed for this composition = 688.2 meV/atom
SG = Immm, No. 71

Number 1: spin magnetization 1.1 μB/f.u.. Number 2: spin magnetization 0.0 μB/f.u.. Number 3: spin magnetization 0.0 μB/f.u.. Number 4: spin magnetization 2.8 μB/f.u.. Number 5: spin magnetization 1.3 μB/f.u.. Number 6: spin magnetization 1.9 μB/f.u.. Number 7: spin magnetization 1.2 μB/f.u.. Number 8: spin magnetization 1.0 μB/f.u.. Number 9: spin magnetization 1.4 μB/f.u.. Number 10: spin magnetization 6.0 μB/f.u.. Number 11: spin magnetization 0.0 μB/f.u.. Number 12: spin magnetization 0.7 μB/f.u..